# TaTlCI2, optimized geometry, DFT PBE-GGA
# Size of the total moment ... 3.0 Bohr magnetons per cell
# Raw total energy ... -0.1286 Ha/atom
data_TaTlCI2
_chemical_formula_sum 'Ta1 Tl1 C1 I2'
_cell_length_a 4.9839
_cell_length_b 4.8455
_cell_length_c 4.9839
_cell_angle_alpha 90.00
_cell_angle_beta 90.00
_cell_angle_gamma 90.00
_space_group_name_H-M_alt 'P 1'
_space_group_IT_number 1
_space_group_name_Hall 'P 1'
loop_
_atom_site_label
_atom_site_type_symbol
_atom_site_fract_x
_atom_site_fract_y
_atom_site_fract_z
_atom_site_occupancy
I1 I 0.0000 0.0000 0.5000 1
I2 I 0.5000 0.0000 0.0000 1
Tl1 Tl 0.0000 0.5000 0.0000 1
C1 C 0.0000 0.0000 0.0000 1
Ta1 Ta 0.5000 0.5000 0.5000 1